# 1
Density functional theory data (PBE) for crystalline ZnHBr at its relaxed geometry.

extended XYZ file:
```
6
Lattice="1.935 -7.167 0.000 1.935 7.167 0.000 0.000 0.000 4.917" Properties=species:S:1:pos:R:3 pbc="T T T"
Zn 1.935 6.363 2.458
Zn 1.935 -6.363 0.000
H 1.935 6.501 0.796
H 1.935 -6.501 3.254
Br 1.935 2.190 0.620
Br 1.935 -2.190 3.079
```

Results
Final energy = -2.50 eV/atom
M_tot = 0.00 Bohr magnetons per cell



# 2
Density functional theory data (PBE) for crystalline K3HoCu2Cl9 at its relaxed geometry.

extended XYZ file:
```
15
Lattice="7.138 0.000 0.000 -3.569 6.182 0.000 0.000 0.000 8.869" Properties=species:S:1:pos:R:3 pbc="T T T"
K 0.000 0.000 0.000
K 0.000 4.121 6.183
K 3.569 2.061 2.686
Ho 0.000 0.000 4.434
Cu 0.000 4.121 1.251
Cu 3.569 2.061 7.617
Cl -1.784 3.091 0.000
Cl 0.000 2.112 2.902
Cl -1.740 5.126 2.902
Cl 1.829 1.056 5.967
Cl 3.569 0.000 0.000
Cl 1.784 3.091 0.000
Cl 1.740 5.126 2.902
Cl 5.309 1.056 5.967
Cl 3.569 4.070 5.967
```

Results
M_tot = 1.06 Bohr magnetons per cell
Formation energy from raw total energies = -1.539 eV per atom



# 3
Density functional theory data (PBE) for crystalline Na2PbAuCl6 at its relaxed geometry.

extended XYZ file:
```
10
Lattice="6.780 0.000 0.000 2.944 6.683 0.000 0.173 3.536 6.412" Properties=species:S:1:pos:R:3 pbc="T T T"
Na 0.000 0.000 0.000
Na 3.326 2.075 3.093
Pb 6.482 4.258 0.612
Au 3.178 6.201 3.751
Cl 2.160 4.505 2.227
Cl 4.343 7.905 5.148
Cl 4.994 6.428 2.103
Cl 4.520 3.156 5.282
Cl 5.654 1.808 1.759
Cl 8.107 5.929 5.321
```

Results
M_tot = 0.95 Bohr magnetons per cell
Formation energy from raw total energies = -1.087 eV per atom